VASP calculation (PBE) on crystalline NiHgTe2 at its relaxed geometry.

Lattice parameters (Å, degrees): 3.363 3.363 10.043 90.00 90.00 110.33
Fractional positions:
Hg1 0.500 0.500 0.250
Te1 0.000 0.000 0.582
Ni1 0.500 0.500 0.750
Te2 0.000 0.000 0.918

## Properties
Energy relative to the elements, uncorrected: 0.078 eV per atom
N(E_F): 0.627 states/eV/atom